[1]
## Ac2La4Th (GGA-PBE)

Data for crystalline Ac2La4Th at its relaxed geometry.

Results
- DFT formation energy: 220 meV per atom
- M_tot: 0.00 μB per atom
- E_tot: -4.83 eV/atom

a = 6.301 Å, b = 23.972 Å, c = 3.621 Å
α = 90.00°, β = 90.00°, γ = 90.00°
Space group Cmmm (No. 65)
One atom of each set of equivalent atoms:
1 Ac 0.000 0.210 0.000 (multiplicity 4)
2 La 0.000 0.071 0.500 (multiplicity 4)
3 La 0.000 0.371 0.000 (multiplicity 4)
4 Th 0.000 0.500 0.500 (multiplicity 2)



[2]
## Ba2Mg3In12Ag (GGA-PBE)

Data for crystalline Ba2Mg3In12Ag at its relaxed geometry.

Results
- DFT formation energy: -78 meV per atom
- M_tot: 0.00 μB per atom
- E_tot: -2.54 eV/atom

a = 7.3206 Å, b = 7.3206 Å, c = 34.6807 Å
α = 90.00°, β = 90.00°, γ = 120.00°
Space group R-3m (No. 166, hexagonal axes)
One atom of each set of equivalent atoms:
1 Ba 0.0000 0.0000 0.1431 (multiplicity 6)
2 Mg 0.0000 0.5000 0.0000 (multiplicity 9)
3 In 0.0291 0.5146 0.1039 (multiplicity 18)
4 In 0.0550 0.5275 0.6156 (multiplicity 18)
5 Ag 0.0000 0.0000 0.5000 (multiplicity 3)